(1)
Here is a relaxed structure of SiIF3 from Alexandria. Energies are from PBE.

Lattice parameters (Å, degrees): 4.7148 4.7148 4.7148 90.00 90.00 90.00
Atoms (fractional coordinates):
F: 0.5000 0.0000 0.0000
F: 0.0000 0.0000 0.5000
F: 0.0000 0.5000 0.0000
I: 0.0000 0.0000 0.0000
Si: 0.5000 0.5000 0.5000

* total magnetization: 0.00 μB per formula unit
* E_form (uncorrected): -159 meV per atom

(2)
Here is a relaxed structure of Tb2ErTm7 from Alexandria. Energies are from PBE.

Lattice parameters (Å, degrees): 5.0271 9.6209 9.6209 127.12 90.00 90.00
Atoms (fractional coordinates):
Tb: 0.5000 0.7009 0.2991
Tb: 0.5000 0.2991 0.7009
Tm: 0.5000 0.0734 0.2854
Tm: 0.0000 0.8071 0.1929
Tm: 0.5000 0.9266 0.7146
Tm: 0.5000 0.2854 0.0734
Tm: 0.5000 0.5000 0.5000
Tm: 0.0000 0.1929 0.8071
Tm: 0.5000 0.7146 0.9266
Er: 0.0000 0.0000 0.0000

* total magnetization: 0.00 μB per formula unit
* calculated formation energy: 0.709 eV/atom

(3)
Here is a relaxed structure of SrScB from Alexandria. Energies are from PBE.

Lattice parameters (Å, degrees): 13.7761 3.3737 3.3737 60.00 97.03 83.02
Atoms (fractional coordinates):
Sr: 0.5225 0.5646 0.6349
Sr: 0.2573 0.8336 0.3675
Sc: 0.0143 0.7415 0.7917
Sc: 0.7655 0.9890 0.5435
B: 0.8899 0.5319 0.3343
B: 0.8899 0.1986 0.0009

* total magnetization: 0.00 μB per formula unit
* calculated formation energy: -0.074 eV/atom

(4)
Here is a relaxed structure of TbYGaPt from Alexandria. Energies are from PBE.

Lattice parameters (Å, degrees): 5.0229 5.0229 5.0229 60.00 60.00 60.00
Atoms (fractional coordinates):
Tb: 0.0000 0.0000 0.0000
Ga: 0.7500 0.7500 0.7500
Y: 0.5000 0.5000 0.5000
Pt: 0.2500 0.2500 0.2500

* total magnetization: 0.00 μB per formula unit
* calculated formation energy: -0.861 eV/atom